[1]
Compound: Rb3CeAs2O8
Source: the Alexandria database
Functional: PBE
Structure: relaxed

a b c (Å): 6.133 6.133 8.162
angles (deg): 90.00 90.00 120.00
Positions (direct):
Rb1 0.000 0.000 0.000
Rb2 0.333 0.667 0.715
Rb3 0.667 0.333 0.285
Ce1 0.000 0.000 0.500
As1 0.333 0.667 0.252
As2 0.667 0.333 0.748
O1 0.181 0.361 0.331
O2 0.181 0.819 0.331
O3 0.333 0.667 0.046
O4 0.361 0.181 0.669
O5 0.639 0.819 0.331
O6 0.667 0.333 0.954
O7 0.819 0.181 0.669
O8 0.819 0.639 0.669

## Properties
E_form (uncorrected)	-1.96	eV/atom
space group	P-3m1
total energy	-85.24	eV for the cell shown

---

[2]
Compound: Zr2CdPd8
Source: the Alexandria database
Functional: PBE
Structure: relaxed

a b c (Å): 7.518 7.518 6.595
angles (deg): 106.15 106.15 31.36
Positions (direct):
Zr1 0.219 0.219 0.167
Zr2 0.781 0.781 0.833
Cd1 0.500 0.500 0.500
Pd1 0.042 0.042 0.222
Pd2 0.145 0.145 0.700
Pd3 0.322 0.322 0.590
Pd4 0.404 0.404 0.044
Pd5 0.596 0.596 0.956
Pd6 0.678 0.678 0.410
Pd7 0.855 0.855 0.300
Pd8 0.958 0.958 0.778

## Properties
space group	C2/m
total energy	-65.60	eV for the cell shown
E_form	-0.55	eV/atom

---

no.,spin magnetization (μB/cell),DOS(E_F) (states/eV/f.u.)
1,1.0,3.8
2,0.0,4.8